[1]
This record from the Alexandria database describes ZrTeWN2 after structural relaxation. The functional is PBE.

Results
Energy relative to the elements, uncorrected   0.35 eV/atom
Total magnetization   0.0 μB/cell
Density   8.1 g cm⁻³
Uncorrected energy   -7.91 eV per atom
E above lowest polymorph   0 meV per atom

Cell lengths 4.0116, 4.0116, 5.4971 Å; angles 90.00, 90.00, 90.00 degrees
Closest atoms and distances in Å follow each position.
Fractional coordinates of all 5 atoms:
Te 0.0000 0.0000 0.5000  2 W 2.75, 4 Zr 2.84
Zr 0.5000 0.5000 0.5000  4 Te 2.84
W 0.0000 0.0000 0.0000  4 N 2.01
N 0.0000 0.5000 0.0000  2 W 2.01
N 0.5000 0.0000 0.0000  2 W 2.01

---

[2]
This record from the Alexandria database describes HoCoSi2 after structural relaxation. The functional is PBE.

Results
Energy relative to the elements, uncorrected   -0.78 eV/atom
Total magnetization   0.0 μB/cell
Density   7.3 g cm⁻³
Uncorrected energy   -6.41 eV per atom

Cell lengths 3.9262, 6.7141, 9.7212 Å; angles 90.00, 90.00, 90.00 degrees
Closest atoms and distances in Å follow each position.
Fractional coordinates of all 16 atoms:
Ho 0.7500 0.6545 0.6263  9 Si 2.91-3.19, 3 Co 3.08-3.26
Ho 0.2500 0.8455 0.1263  9 Si 2.91-3.19, 3 Co 3.08-3.26
Ho 0.2500 0.3455 0.3737  9 Si 2.91-3.19, 3 Co 3.08-3.26
Ho 0.7500 0.1545 0.8737  9 Si 2.91-3.19, 3 Co 3.08-3.26
Co 0.7500 0.9916 0.3851  5 Si 2.25-2.35
Co 0.2500 0.5084 0.8851  5 Si 2.25-2.35
Co 0.2500 0.0084 0.6149  5 Si 2.25-2.35
Co 0.7500 0.4916 0.1149  5 Si 2.25-2.35
Si 0.7500 0.1850 0.5738  3 Co 2.25-2.33, 2 Si 2.47
Si 0.2500 0.3150 0.0738  3 Co 2.25-2.33, 2 Si 2.47
Si 0.2500 0.8150 0.4262  3 Co 2.25-2.33, 2 Si 2.47
Si 0.7500 0.6850 0.9262  3 Co 2.25-2.33, 2 Si 2.47
Si 0.7500 0.6559 0.3181  2 Co 2.26-2.35, 2 Si 2.47
Si 0.2500 0.8441 0.8181  2 Co 2.26-2.35, 2 Si 2.47
Si 0.2500 0.3441 0.6819  2 Co 2.26-2.35, 2 Si 2.47
Si 0.7500 0.1559 0.1819  2 Co 2.26-2.35, 2 Si 2.47

---

[3]
This record from the Alexandria database describes Rb2CeSe2O6 after structural relaxation. The functional is PBE.

Results
Energy relative to the elements, uncorrected   -1.55 eV/atom
Total magnetization   0.0 μB/cell
Density   4.5 g cm⁻³
Uncorrected energy   -5.61 eV per atom

Cell lengths 6.4204, 6.4204, 6.8848 Å; angles 62.21, 62.21, 60.00 degrees
Closest atoms and distances in Å follow each position.
Fractional coordinates of all 11 atoms:
Rb 0.7828 0.7828 0.6515  9 O 2.99-3.27
Rb 0.2172 0.2172 0.3485  9 O 2.99-3.27
Ce 0.0000 0.0000 0.0000  6 O 2.28
Se 0.4178 0.4178 0.7467  3 O 1.91
Se 0.5822 0.5822 0.2533  3 O 1.91
O 0.7579 0.7579 0.2408  1 Se 1.91
O 0.2434 0.7579 0.2408  1 Se 1.91
O 0.7579 0.2434 0.2408  1 Se 1.91
O 0.2421 0.7566 0.7592  1 Se 1.91
O 0.7566 0.2421 0.7592  1 Se 1.91
O 0.2421 0.2421 0.7592  1 Se 1.91

---

[4]
This record from the Alexandria database describes NaCoGe3 after structural relaxation. The functional is PBE.

Results
Total magnetization   1.0 μB/cell
E_form   146 meV per atom
Density   5.0 g cm⁻³
Uncorrected energy   -4.31 eV per atom
E above lowest polymorph   232 meV per atom

Cell lengths 4.6477, 4.6477, 4.6477 Å; angles 90.00, 90.00, 90.00 degrees
Closest atoms and distances in Å follow each position.
Fractional coordinates of all 5 atoms:
Na 0.5000 0.5000 0.5000  12 Ge 3.29
Ge 0.0000 0.5000 0.0000  2 Co 2.32
Ge 0.0000 0.0000 0.5000  2 Co 2.32
Ge 0.5000 0.0000 0.0000  2 Co 2.32
Co 0.0000 0.0000 0.0000  6 Ge 2.32

---

[5]
This record from the Alexandria database describes TbPr2Y8 after structural relaxation. The functional is PBE.

Results
Total magnetization   0.0 μB/cell
E_form   154 meV per atom
Density   5.2 g cm⁻³
Uncorrected energy   -5.84 eV per atom

Cell lengths 5.9492, 9.1052, 9.2386 Å; angles 60.48, 74.86, 57.99 degrees
Closest atoms and distances in Å follow each position.
Fractional coordinates of all 11 atoms:
Tb 0.5000 0.0000 0.0000  4 Y 3.35-3.37
Pr 0.0000 0.3057 0.3887  8 Y 3.36-3.49
Pr 0.0000 0.6943 0.6113  8 Y 3.36-3.49
Y 0.8347 0.0985 0.2291  4 Y 3.28-3.66, 2 Pr 3.49
Y 0.8347 0.3276 0.7709  4 Y 3.28-3.66, 2 Pr 3.49
Y 0.2978 0.4224 0.0000  4 Y 3.04-3.37, 1 Tb 3.37
Y 0.5000 0.7914 0.4172  1 Tb 3.35, 2 Pr 3.36, 6 Y 3.66-3.76
Y 0.5000 0.2086 0.5828  1 Tb 3.35, 2 Pr 3.36, 6 Y 3.66-3.76
Y 0.7022 0.5776 0.0000  4 Y 3.04-3.37, 1 Tb 3.37
Y 0.1653 0.6724 0.2291  4 Y 3.28-3.66, 2 Pr 3.49
Y 0.1653 0.9015 0.7709  4 Y 3.28-3.66, 2 Pr 3.49

---

[6]
This record from the Alexandria database describes Na3Pu3PaTe8 after structural relaxation. The functional is PBE.

Results
Energy relative to the elements, uncorrected   -1.00 eV/atom
Total magnetization   16.0 μB/cell
Density   6.5 g cm⁻³
Uncorrected energy   -6.44 eV per atom

Cell lengths 8.9685, 8.9682, 9.1235 Å; angles 119.42, 90.00, 120.00 degrees
Closest atoms and distances in Å follow each position.
Fractional coordinates of all 15 atoms:
Na 0.0000 0.0000 0.0000  6 Te 3.26-3.27
Na 0.0000 0.5000 0.0000  6 Te 3.26-3.27
Na 0.5000 0.5000 0.0000  6 Te 3.26-3.27
Pu 0.5000 0.0000 0.5000  6 Te 3.13-3.14
Pu 0.5000 0.5000 0.5000  6 Te 3.13-3.14
Pu 0.0000 0.5000 0.5000  6 Te 3.13-3.14
Pa 0.0000 0.0000 0.5000  6 Te 3.06
Te 0.2555 0.5110 0.2664  3 Pu 3.13, 3 Na 3.27
Te 0.7445 0.4890 0.7336  3 Pu 3.13, 3 Na 3.27
Te 0.7610 0.5220 0.2698  1 Pa 3.06, 2 Pu 3.14, 2 Na 3.26
Te 0.2390 0.4780 0.7302  1 Pa 3.06, 2 Pu 3.14, 2 Na 3.26
Te 0.7610 0.0090 0.2698  1 Pa 3.06, 2 Pu 3.14, 2 Na 3.26
Te 0.2390 0.9910 0.7302  1 Pa 3.06, 2 Pu 3.14, 2 Na 3.26
Te 0.2480 0.0090 0.2698  1 Pa 3.06, 2 Pu 3.14, 2 Na 3.26
Te 0.7520 0.9910 0.7302  1 Pa 3.06, 2 Pu 3.14, 2 Na 3.26